Sr3CuS after structural relaxation. Source: Alexandria, functional PBE.

abc: 5.7311 5.7311 5.7311
angles: 90.00 90.00 90.00
With the nearest neighbours (Å) after each atom.
Space group Pm-3m (No. 221)
Symmetry-distinct sites (fractional):
Sr 0.0000 0.0000 0.5000 x3  2 S 2.87
Cu 0.5000 0.5000 0.5000 x1  12 Sr 4.05
S 0.0000 0.0000 0.0000 x1  6 Sr 2.87

Results
* polymorph energy (0 for the lowest one): 0 meV/atom
* raw total energy: -15.9 eV/cell
* formation energy without anion corrections: -524 meV per atom